Sr3ErIn12 | PBE | relaxed

space-group type: P4/mmm, No. 123
E_form: -0.32 eV per atom
N(E_F): 10.3 states/eV/cell

Cell lengths 4.821, 4.821, 19.057 Å; angles 90.00, 90.00, 90.00 degrees
Fractional coordinates of all 16 atoms:
Sr 0.000 0.000 0.244
Sr 0.000 0.000 0.500
Sr 0.000 0.000 0.756
Er 0.000 0.000 0.000
In 0.500 0.500 0.000
In 0.500 0.500 0.248
In 0.500 0.500 0.500
In 0.500 0.500 0.752
In 0.500 0.000 0.117
In 0.500 0.000 0.372
In 0.500 0.000 0.628
In 0.500 0.000 0.883
In 0.000 0.500 0.117
In 0.000 0.500 0.372
In 0.000 0.500 0.628
In 0.000 0.500 0.883

LaYHf | PBE | relaxed

space-group type: I4mm, No. 107
E_form: 0.16 eV per atom
N(E_F): 4.7 states/eV/cell

Cell lengths 3.382, 3.382, 8.152 Å; angles 101.97, 101.97, 90.00 degrees
Fractional coordinates of all 3 atoms:
Y 0.016 0.016 0.032
Hf 0.661 0.661 0.323
La 0.323 0.323 0.645

Ho3CuAu3 | PBE | relaxed

space-group type: Imm2, No. 44
E_form: -0.72 eV per atom
N(E_F): 4.3 states/eV/cell

Cell lengths 4.529, 3.644, 9.940 Å; angles 100.56, 103.17, 90.00 degrees
Fractional coordinates of all 7 atoms:
Ho 0.315 0.815 0.630
Ho 0.687 0.187 0.374
Ho 0.997 0.997 0.994
Cu 0.430 0.430 0.860
Au 0.155 0.655 0.311
Au 0.854 0.354 0.709
Au 0.562 0.562 0.123

Ca4In5Ge2 | PBE | relaxed

space-group type: P2/m, No. 10
E_form: -0.38 eV per atom
N(E_F): 4.6 states/eV/cell

Cell lengths 3.474, 8.117, 10.457 Å; angles 100.78, 90.00, 90.00 degrees
Fractional coordinates of all 11 atoms:
Ca 0.500 0.749 0.577
Ca 0.500 0.162 0.856
Ca 0.500 0.251 0.423
Ca 0.500 0.838 0.144
In 0.000 0.549 0.307
In 0.000 0.191 0.134
In 0.000 0.500 0.000
In 0.000 0.809 0.866
In 0.000 0.451 0.693
Ge 0.000 0.083 0.616
Ge 0.000 0.917 0.384

La3CoPb | PBE | relaxed

space-group type: I-4m2, No. 119
E_form: 0.06 eV per atom
N(E_F): 9.8 states/eV/cell

Cell lengths 6.833, 6.833, 8.596 Å; angles 66.58, 66.58, 90.00 degrees
Fractional coordinates of all 10 atoms:
Pb 0.619 0.119 0.763
Pb 0.881 0.381 0.237
Co 0.000 0.000 0.000
Co 0.250 0.750 0.500
La 0.632 0.882 0.235
La 0.118 0.368 0.765
La 0.118 0.867 0.765
La 0.133 0.882 0.235
La 0.348 0.348 0.303
La 0.652 0.652 0.697

TbTmCuIr | PBE | relaxed

space-group type: F-43m, No. 216
E_form: -0.61 eV per atom
N(E_F): 2.8 states/eV/cell

Cell lengths 4.851, 4.851, 4.851 Å; angles 60.00, 60.00, 60.00 degrees
Fractional coordinates of all 4 atoms:
Tb 0.500 0.500 0.500
Ir 0.250 0.250 0.250
Tm 0.000 0.000 0.000
Cu 0.750 0.750 0.750

Sr2Al4Ga3Hg | PBE | relaxed

space-group type: P-4m2, No. 115
E_form: -0.33 eV per atom
N(E_F): 3.0 states/eV/cell

Cell lengths 4.500, 4.500, 11.021 Å; angles 90.00, 90.00, 90.00 degrees
Fractional coordinates of all 10 atoms:
Sr 0.500 0.000 0.248
Sr 0.000 0.500 0.752
Al 0.500 0.500 0.000
Al 0.000 0.000 0.000
Al 0.500 0.000 0.635
Al 0.000 0.500 0.365
Ga 0.000 0.000 0.500
Ga 0.500 0.000 0.868
Ga 0.000 0.500 0.132
Hg 0.500 0.500 0.500

CsMg2InI8 | PBE | relaxed

formation energy without anion corrections: -888 meV per atom
space-group type: C2/m, No. 12

Cell lengths 7.447, 7.448, 11.183 Å; angles 84.80, 84.81, 68.44 degrees
Fractional coordinates of all 12 atoms:
Cs 0.000 0.000 0.500
Mg 0.373 0.373 0.798
Mg 0.627 0.627 0.202
In 0.000 0.000 0.000
I 0.222 0.730 0.195
I 0.762 0.762 0.987
I 0.730 0.222 0.195
I 0.778 0.270 0.805
I 0.238 0.238 0.013
I 0.270 0.778 0.805
I 0.690 0.689 0.423
I 0.310 0.311 0.577

Li4InSe | PBE | relaxed

formation energy without anion corrections: -169 meV per atom
space-group type: F-43m, No. 216
N(E_F): 3.6 states/eV/cell

Cell lengths 5.457, 5.457, 5.457 Å; angles 60.00, 60.00, 60.00 degrees
Fractional coordinates of all 6 atoms:
Li 0.877 0.374 0.374
Li 0.374 0.374 0.877
Li 0.374 0.877 0.374
Li 0.374 0.374 0.374
In 0.000 0.000 0.000
Se 0.750 0.750 0.750

LiLuInGa | PBE | relaxed

space-group type: F-43m, No. 216
E_form: -0.37 eV per atom
N(E_F): 1.2 states/eV/cell

Cell lengths 4.926, 4.926, 4.926 Å; angles 60.00, 60.00, 60.00 degrees
Fractional coordinates of all 4 atoms:
Lu 0.000 0.000 0.000
Li 0.500 0.500 0.500
Ga 0.250 0.250 0.250
In 0.750 0.750 0.750

CdIn9Hg4 | PBE | relaxed

space-group type: I4/mcm, No. 140
E_form: 0.09 eV per atom
N(E_F): 12.9 states/eV/cell

Cell lengths 10.702, 10.702, 10.702 Å; angles 123.10, 123.10, 84.71 degrees
Fractional coordinates of all 28 atoms:
Cd 0.750 0.750 0.000
Cd 0.250 0.250 0.000
In 0.198 0.075 0.273
In 0.802 0.925 0.727
In 0.302 0.575 0.877
In 0.698 0.425 0.123
In 0.425 0.302 0.727
In 0.575 0.698 0.273
In 0.925 0.198 0.123
In 0.075 0.802 0.877
In 0.500 0.000 0.500
In 0.000 0.500 0.500
In 0.317 0.817 0.768
In 0.048 0.548 0.232
In 0.183 0.952 0.500
In 0.452 0.683 0.500
In 0.683 0.183 0.232
In 0.952 0.452 0.768
In 0.548 0.317 0.500
In 0.817 0.048 0.500
Hg 0.794 0.294 0.834
Hg 0.460 0.960 0.166
Hg 0.706 0.540 0.500
Hg 0.040 0.206 0.500
Hg 0.206 0.706 0.166
Hg 0.540 0.040 0.834
Hg 0.960 0.794 0.500
Hg 0.294 0.460 0.500

Pr8CdRu2 | PBE | relaxed

space-group type: C2/m, No. 12
E_form: -0.08 eV per atom
N(E_F): 12.6 states/eV/cell

Cell lengths 5.768, 8.246, 8.246 Å; angles 115.47, 97.42, 97.42 degrees
Fractional coordinates of all 11 atoms:
Pr 0.942 0.923 0.668
Pr 0.942 0.668 0.923
Pr 0.300 0.602 0.602
Pr 0.500 0.752 0.248
Pr 0.500 0.248 0.752
Pr 0.700 0.398 0.398
Pr 0.058 0.332 0.077
Pr 0.058 0.077 0.332
Cd 0.500 0.000 0.000
Ru 0.000 0.294 0.706
Ru 0.000 0.706 0.294

Question: Which formula does entry 8 have?
Answer: CsMg2InI8